The following is a PBE calculation of crystalline Yb5P7Pd9 at its relaxed geometry, from Alexandria.

```
data_Yb5P7Pd9
_chemical_formula_sum 'Yb5 P7 Pd9'
_cell_length_a 10.121
_cell_length_b 10.121
_cell_length_c 4.050
_cell_angle_alpha 90.00
_cell_angle_beta 90.00
_cell_angle_gamma 120.00
_space_group_name_H-M_alt 'P 1'
_space_group_IT_number 1
loop_
_space_group_symop_operation_xyz
'x,y,z'
loop_
_atom_site_label
_atom_site_type_symbol
_atom_site_fract_x
_atom_site_fract_y
_atom_site_fract_z
Yb1 Yb 0.667 0.333 0.000
Yb2 Yb 0.333 0.667 0.500
Yb3 Yb 0.104 0.231 0.500
Yb4 Yb 0.769 0.873 0.500
Yb5 Yb 0.127 0.896 0.500
P1 P 0.852 0.277 0.500
P2 P 0.723 0.575 0.500
P3 P 0.425 0.148 0.500
P4 P 0.000 0.000 0.000
P5 P 0.313 0.426 0.000
P6 P 0.574 0.887 0.000
P7 P 0.113 0.687 0.000
Pd1 Pd 0.596 0.053 0.500
Pd2 Pd 0.947 0.543 0.500
Pd3 Pd 0.457 0.404 0.500
Pd4 Pd 0.833 0.129 0.000
Pd5 Pd 0.871 0.704 0.000
Pd6 Pd 0.296 0.167 0.000
Pd7 Pd 0.078 0.439 0.000
Pd8 Pd 0.561 0.639 0.000
Pd9 Pd 0.361 0.922 0.000
```

Summary:
The calculation puts the volume at 17.11 Å³ per atom. The calculation puts the magnetic moment at 0.9 μB per formula unit. The calculation puts the total energy at -5.34 eV per atom. The calculation puts the energy of formation at -19.89 eV per formula unit.

---

The following is a PBE calculation of crystalline YbPPd at its relaxed geometry, from Alexandria.

```
data_YbPPd
_chemical_formula_sum 'Yb4 P4 Pd4'
_cell_length_a 4.213
_cell_length_b 6.948
_cell_length_c 7.390
_cell_angle_alpha 90.00
_cell_angle_beta 90.00
_cell_angle_gamma 90.00
_space_group_name_H-M_alt 'P 1'
_space_group_IT_number 1
loop_
_space_group_symop_operation_xyz
'x,y,z'
loop_
_atom_site_label
_atom_site_type_symbol
_atom_site_fract_x
_atom_site_fract_y
_atom_site_fract_z
P1 P 0.250 0.706 0.402
P2 P 0.250 0.206 0.098
P3 P 0.750 0.294 0.598
P4 P 0.750 0.794 0.902
Yb1 Yb 0.750 0.504 0.199
Yb2 Yb 0.250 0.996 0.699
Yb3 Yb 0.750 0.004 0.301
Yb4 Yb 0.250 0.496 0.801
Pd1 Pd 0.250 0.820 0.077
Pd2 Pd 0.250 0.320 0.423
Pd3 Pd 0.750 0.680 0.577
Pd4 Pd 0.750 0.180 0.923
```

Summary:
The calculation puts the volume at 18.03 Å³ per atom. The calculation puts the magnetic moment at 0.0 μB per formula unit. The calculation puts the total energy at -5.10 eV per atom. The calculation puts the energy of formation at -3.18 eV per formula unit.